Li4FeP2O8: optimized geometry, GGA+U.

Results
Uncorrected energy in eV/atom: -6.484

Cell: 4.9429 5.2529 6.2391 Å, 94.48 94.44 98.16°
Space group P-1 (No. 2)
One atom of each set of equivalent atoms:
Li1 0.1463 0.3773 0.2921 [2 per cell]
Li2 0.3470 0.7078 0.9857 [2 per cell]
Fe1 0.5000 0.0000 0.5000 [1 per cell]
P1 0.1312 0.1792 0.7677 [2 per cell]
O1 0.1840 0.8096 0.2599 [2 per cell]
O2 0.2027 0.8978 0.7557 [2 per cell]
O3 0.2516 0.3274 0.9864 [2 per cell]
O4 0.2720 0.3075 0.5798 [2 per cell]